Compound: K2CuNiF6
Source: Alexandria via LeMat-Bulk
Functional: PBE with a Hubbard U
Structure: optimized geometry

a = 5.6586 Å, b = 5.6586 Å, c = 8.6536 Å
α = 90.00°, β = 90.00°, γ = 90.00°
Closest atoms and distances in Å follow each position.
Space group I4/mmm (No. 139)
One atom of each set of equivalent atoms:
K  0.0000  0.5000  0.2500  12 F 2.84-2.95
Cu  0.0000  0.0000  0.0000  4 F 1.94
Ni  0.0000  0.0000  0.5000  6 F 1.98-2.06
F  0.0000  0.0000  0.2710  1 Ni 1.98
F  0.2424  0.2424  0.0000  1 Cu 1.94, 1 Ni 2.06

E_tot = -4.270 eV per atom
total magnetization = 3.01 μB per formula unit
DOS at the Fermi energy = 1.51 states/eV/cell

***

Compound: K3Cu2NiF9
Source: Alexandria via LeMat-Bulk
Functional: PBE with a Hubbard U
Structure: optimized geometry

a = 5.7623 Å, b = 5.7623 Å, c = 7.0561 Å
α = 90.00°, β = 90.00°, γ = 120.00°
Closest atoms and distances in Å follow each position.
Space group P-3m1 (No. 164)
One atom of each set of equivalent atoms:
K  0.0000  0.0000  0.0000  12 F 2.87-2.88
K  0.3333  0.6667  0.6634  12 F 2.87-2.90
Cu  0.3333  0.6667  0.1643  6 F 2.03-2.05
Ni  0.0000  0.0000  0.5000  6 F 2.03
F  0.0000  0.5000  0.0000  2 Cu 2.03
F  0.1658  0.3317  0.3328  1 Ni 2.03, 1 Cu 2.05

E_tot = -4.272 eV per atom
total magnetization = 3.97 μB per formula unit
DOS at the Fermi energy = 2.76 states/eV/cell

***

What did the second record say?
Compound: K3Cu2NiF9
Source: Alexandria via LeMat-Bulk
Functional: PBE with a Hubbard U
Structure: optimized geometry

a = 5.7623 Å, b = 5.7623 Å, c = 7.0561 Å
α = 90.00°, β = 90.00°, γ = 120.00°
Closest atoms and distances in Å follow each position.
Space group P-3m1 (No. 164)
One atom of each set of equivalent atoms:
K  0.0000  0.0000  0.0000  12 F 2.87-2.88
K  0.3333  0.6667  0.6634  12 F 2.87-2.90
Cu  0.3333  0.6667  0.1643  6 F 2.03-2.05
Ni  0.0000  0.0000  0.5000  6 F 2.03
F  0.0000  0.5000  0.0000  2 Cu 2.03
F  0.1658  0.3317  0.3328  1 Ni 2.03, 1 Cu 2.05

E_tot = -4.272 eV per atom
total magnetization = 3.97 μB per formula unit
DOS at the Fermi energy = 2.76 states/eV/cell

***

Q: The lowest DOS at the Fermi energy belongs to which entry?
A: K2CuNiF6

***

Q: Which formula does entry 2 have?
A: K3Cu2NiF9